Ba2PmReN4: relaxed, PBE.

Output
* D(E_F): 0.41 states/eV per atom
* space-group type: I-4 (82)
* formation energy from raw total energies: -649 meV per atom

POSCAR file:
```
Ba2PmReN4
1.0
-3.134 3.134 3.906
3.134 -3.134 3.906
3.134 3.134 -3.906
Ba Pm Re N
2 1 1 4
direct
0.000 0.000 0.000
0.750 0.250 0.500
0.250 0.750 0.500
0.500 0.500 0.000
0.249 0.182 0.598
0.350 0.751 0.933
0.583 0.650 0.402
0.818 0.417 0.067
```

=====

YThTcOs: relaxed, PBE.

Output
* D(E_F): 0.54 states/eV per atom
* ΔH_f (0 K): -0.0986 eV/atom
* space-group type: F-43m (216)

POSCAR file:
```
YThTcOs
1.0
0.000 3.486 3.486
3.486 0.000 3.486
3.486 3.486 0.000
Y Th Tc Os
1 1 1 1
direct
0.000 0.000 0.000
0.500 0.500 0.500
0.750 0.750 0.750
0.250 0.250 0.250
```

=====

TbNd12Dy3: relaxed, PBE.

Output
* D(E_F): 1.53 states/eV per atom
* ΔH_f (0 K): 0.0135 eV/atom
* space-group type: P4/mmm (123)

POSCAR file:
```
TbNd12Dy3
1.0
5.160 0.000 0.000
0.000 5.160 0.000
0.000 0.000 20.578
Tb Nd Dy
1 12 3
direct
0.000 0.000 0.000
0.000 0.500 0.125
0.000 0.500 0.375
0.000 0.500 0.625
0.000 0.500 0.875
0.500 0.000 0.125
0.500 0.000 0.375
0.500 0.000 0.625
0.500 0.000 0.875
0.500 0.500 0.000
0.500 0.500 0.250
0.500 0.500 0.500
0.500 0.500 0.750
0.000 0.000 0.250
0.000 0.000 0.500
0.000 0.000 0.750
```

=====

Ca2ScTl: relaxed, PBE.

Output
* D(E_F): 1.30 states/eV per atom
* ΔH_f (0 K): -0.0662 eV/atom
* space-group type: P4/mmm (123)
* distance to the lowest polymorph of the same formula: 0.050 eV/atom

POSCAR file:
```
Ca2ScTl
1.0
3.595 0.000 0.000
0.000 3.595 0.000
0.000 0.000 9.523
Ca Sc Tl
2 1 1
direct
0.000 0.000 0.229
0.000 0.000 0.771
0.500 0.500 0.500
0.500 0.500 0.000
```

=====

ZnReOs2: relaxed, PBE.

Output
* D(E_F): 0.65 states/eV per atom
* ΔH_f (0 K): 0.2254 eV/atom
* space-group type: Pm (6)

POSCAR file:
```
ZnReOs2
1.0
2.773 0.000 0.000
0.000 3.959 0.000
-0.003 0.000 5.243
Zn Re Os
1 1 2
direct
0.000 0.000 0.000
0.498 0.500 0.256
0.001 0.000 0.498
0.501 0.500 0.773
```

=====

Re2Ir: relaxed, PBE.

Output
* D(E_F): 0.53 states/eV per atom
* ΔH_f (0 K): -0.0027 eV/atom
* space-group type: P6_3/mmc (194)
* distance to the lowest polymorph of the same formula: 0.190 eV/atom

POSCAR file:
```
Re2Ir
1.0
4.361 0.000 0.000
-2.181 3.777 0.000
0.000 0.000 5.464
Re Ir
4 2
direct
0.000 0.000 0.000
0.000 0.000 0.500
0.333 0.667 0.250
0.667 0.333 0.750
0.333 0.667 0.750
0.667 0.333 0.250
```

=====

MnIrPb2: relaxed, PBE.

Output
* D(E_F): 0.90 states/eV per atom
* ΔH_f (0 K): 0.5758 eV/atom
* space-group type: R-3m (166)
* distance to the lowest polymorph of the same formula: 0.404 eV/atom

POSCAR file:
```
MnIrPb2
1.0
1.663 0.960 8.829
-1.663 0.960 8.829
0.000 -1.920 8.829
Mn Ir Pb
1 1 2
direct
0.000 0.000 0.000
0.500 0.500 0.500
0.246 0.246 0.246
0.754 0.754 0.754
```

=====

Ga6PdPt5: relaxed, PBE.

Output
* D(E_F): 0.24 states/eV per atom
* ΔH_f (0 K): -0.4366 eV/atom
* space-group type: C2/m (12)

POSCAR file:
```
Ga6PdPt5
1.0
3.108 -5.196 0.000
3.108 5.196 0.000
-1.623 0.000 6.329
Ga Pd Pt
6 1 5
direct
0.037 0.398 0.714
0.192 0.192 0.198
0.398 0.037 0.714
0.602 0.963 0.286
0.808 0.808 0.802
0.963 0.602 0.286
0.500 0.500 0.000
0.000 0.000 0.500
0.202 0.798 0.000
0.369 0.631 0.500
0.631 0.369 0.500
0.798 0.202 0.000
```

=====

ZrSiF3: relaxed, PBE.

Output
* D(E_F): 0.92 states/eV per atom
* space-group type: Pm-3m (221)
* distance to the lowest polymorph of the same formula: 0.000 eV/atom
* formation energy from raw total energies: -1764 meV per atom

POSCAR file:
```
ZrSiF3
1.0
4.350 0.000 0.000
0.000 4.350 0.000
0.000 0.000 4.350
Zr Si F
1 1 3
direct
0.000 0.000 0.000
0.500 0.500 0.500
0.000 0.000 0.500
0.000 0.500 0.000
0.500 0.000 0.000
```

=====

Ag5Hg12I3: relaxed, PBE.

Output
* D(E_F): 0.12 states/eV per atom
* space-group type: Ia-3d (230)
* formation energy from raw total energies: 73 meV per atom

POSCAR file:
```
Ag5Hg12I3
1.0
-8.890 8.890 8.890
8.890 -8.890 8.890
8.890 8.890 -8.890
Ag Hg I
20 48 12
direct
0.000 0.000 0.000
0.000 0.000 0.500
0.000 0.500 0.000
0.000 0.500 0.500
0.125 0.750 0.875
0.125 0.875 0.250
0.250 0.125 0.875
0.250 0.625 0.375
0.375 0.250 0.625
0.375 0.625 0.750
0.500 0.000 0.000
0.500 0.000 0.500
0.500 0.500 0.000
0.500 0.500 0.500
0.625 0.375 0.250
0.625 0.750 0.375
0.750 0.375 0.625
0.750 0.875 0.125
0.875 0.125 0.750
0.875 0.250 0.125
0.024 0.204 0.089
0.024 0.319 0.934
0.066 0.589 0.385
0.066 0.976 0.681
0.089 0.024 0.204
0.089 0.566 0.885
0.115 0.704 0.681
0.115 0.911 0.434
0.181 0.204 0.615
0.181 0.476 0.566
0.204 0.089 0.024
0.204 0.615 0.181
0.296 0.319 0.885
0.296 0.476 0.411
0.319 0.885 0.296
0.319 0.934 0.024
0.385 0.066 0.589
0.385 0.819 0.796
0.411 0.296 0.476
0.411 0.615 0.934
0.434 0.115 0.911
0.434 0.819 0.524
0.476 0.411 0.296
0.476 0.566 0.181
0.524 0.434 0.819
0.524 0.589 0.704
0.566 0.181 0.476
0.566 0.885 0.089
0.589 0.385 0.066
0.589 0.704 0.524
0.615 0.181 0.204
0.615 0.934 0.411
0.681 0.066 0.976
0.681 0.115 0.704
0.704 0.524 0.589
0.704 0.681 0.115
0.796 0.385 0.819
0.796 0.911 0.976
0.819 0.524 0.434
0.819 0.796 0.385
0.885 0.089 0.566
0.885 0.296 0.319
0.911 0.434 0.115
0.911 0.976 0.796
0.934 0.024 0.319
0.934 0.411 0.615
0.976 0.681 0.066
0.976 0.796 0.911
0.125 0.250 0.375
0.125 0.375 0.750
0.250 0.375 0.125
0.250 0.875 0.625
0.375 0.125 0.250
0.375 0.750 0.125
0.625 0.250 0.875
0.625 0.875 0.750
0.750 0.125 0.375
0.750 0.625 0.875
0.875 0.625 0.250
0.875 0.750 0.625
```

=====

CaBe2Nb4: relaxed, PBE.

Output
* D(E_F): 1.05 states/eV per atom
* ΔH_f (0 K): 1.7531 eV/atom
* space-group type: I4/mmm (139)

POSCAR file:
```
CaBe2Nb4
1.0
-2.372 2.372 5.989
2.372 -2.372 5.989
2.372 2.372 -5.989
Ca Be Nb
1 2 4
direct
0.000 0.000 0.000
0.421 0.421 0.000
0.579 0.579 0.000
0.000 0.500 0.500
0.236 0.236 0.000
0.500 0.000 0.500
0.764 0.764 0.000
```

=====

CuAsSe2Cl: relaxed, PBE.

Output
* D(E_F): 0.85 states/eV per atom
* space-group type: P4/mmm (123)
* distance to the lowest polymorph of the same formula: 0.000 eV/atom
* formation energy from raw total energies: 539 meV per atom

POSCAR file:
```
CuAsSe2Cl
1.0
4.648 0.000 0.000
0.000 4.648 0.000
0.000 0.000 5.173
Cu As Se Cl
1 1 2 1
direct
0.000 0.000 0.000
0.000 0.000 0.500
0.000 0.500 0.000
0.500 0.000 0.000
0.500 0.500 0.500
```